Density functional theory data (SCAN) for a PBEsol-optimized structure of SiRu2W.

POSCAR file:
```
SiRu2W
1.0
2.718 -0.008 0.000
-1.132 2.471 0.000
0.000 0.000 8.327
W Si Ru
1 1 2
Cartesian
0.793 1.232 2.144 W
0.000 0.000 4.258 Si
0.000 0.000 0.013 Ru
0.793 1.232 6.076 Ru
```

The calculation puts the formation energy (no corrections) at 0.200 eV/atom. The calculation puts the density of states at the Fermi level at 2.888 states/eV/f.u. As for the space group: No. 35.


Density functional theory data (SCAN) for a PBEsol-optimized structure of BeZnFe2.

POSCAR file:
```
BeZnFe2
1.0
-0.336 -3.414 0.256
3.183 -0.216 1.297
-1.334 0.381 3.338
Be Fe Zn
1 2 1
Cartesian
0.924 0.083 2.317 Be
0.000 0.000 0.000 Fe
1.423 -1.815 0.776 Fe
-0.835 -1.516 1.797 Zn
```

The value obtained for the distance to the lowest polymorph of the same formula is 4.2 kJ/mol of atoms. The calculation puts the density of states at the Fermi level at 1.622 states/eV/f.u. As for the space group: No. 123.


Density functional theory data (SCAN) for a PBEsol-optimized structure of TlFeAu.

POSCAR file:
```
TlFeAu
1.0
-1.578 -0.759 -2.667
-0.596 -4.102 1.520
-2.985 3.134 0.874
Tl Fe Au
1 1 1
Cartesian
-1.931 -1.949 0.394 Tl
-3.309 0.183 -0.804 Fe
-1.497 -0.720 -2.530 Au
```

The value obtained for the total energy is -158.59 eV/cell. The calculation puts the density of states at the Fermi level at 1.819 states/eV/f.u. As for the space group: No. 156.


Density functional theory data (SCAN) for a PBEsol-optimized structure of Fe4PIr.

POSCAR file:
```
Fe4PIr
1.0
4.633 0.000 0.000
2.316 4.012 0.000
2.316 1.337 3.783
Fe Ir P
4 1 1
Cartesian
5.796 2.003 1.416 Fe
3.470 2.003 1.416 Fe
4.633 4.018 1.416 Fe
4.633 2.675 3.316 Fe
6.949 4.012 2.837 Ir
0.000 0.000 0.000 P
```

The value obtained for the total energy is -152.45 eV/cell. The calculation puts the density of states at the Fermi level at 4.622 states/eV/f.u. As for the space group: No. 216.


Density functional theory data (SCAN) for a PBEsol-optimized structure of CsPH3O3F.

POSCAR file:
```
CsPH3O3F
1.0
4.842 0.000 0.000
0.000 5.544 -0.001
0.000 -0.924 18.375
F P Cs O H
4 4 4 12 12
Cartesian
1.494 0.786 8.796 F
3.347 3.834 9.577 F
3.915 4.296 0.389 F
0.927 0.325 17.984 F
1.394 3.803 12.422 P
3.814 0.356 15.139 P
3.448 0.818 5.951 P
1.027 4.264 3.235 P
3.195 1.474 1.519 Cs
0.774 3.608 7.666 Cs
1.647 3.146 16.854 Cs
4.068 1.012 10.707 Cs
0.734 0.212 3.356 O
4.765 3.441 12.835 O
0.077 1.180 5.538 O
1.687 -0.249 12.543 O
3.155 4.870 5.830 O
4.014 0.934 16.539 O
3.248 1.396 7.352 O
2.344 0.718 14.725 O
4.108 4.408 15.017 O
0.827 3.686 1.834 O
1.593 3.224 11.021 O
2.498 3.902 3.648 O
2.300 1.025 8.101 H
2.044 0.293 13.780 H
4.465 3.865 13.780 H
2.798 4.327 4.593 H
2.225 3.105 13.331 H
0.377 0.755 4.593 H
0.121 0.563 17.288 H
2.542 3.595 10.272 H
0.196 3.566 4.143 H
4.721 4.057 1.085 H
2.617 1.516 5.043 H
4.646 1.054 14.230 H
```

The value obtained for the total energy is -387.94 eV/cell. The calculation puts the density of states at the Fermi level at 0.000 states/eV/f.u. As for the space group: No. 14.


Density functional theory data (SCAN) for a PBEsol-optimized structure of Sc2Si2Ge.

POSCAR file:
```
Sc2Si2Ge
1.0
-0.920 0.596 3.730
3.263 -5.593 1.699
5.627 3.532 0.824
Sc Ge Si
4 2 4
Cartesian
3.930 1.699 2.724 Sc
4.039 -3.163 3.528 Sc
6.378 -0.585 3.693 Sc
1.591 -0.879 2.559 Sc
4.445 -1.030 1.261 Ge
0.000 0.000 0.000 Ge
6.161 0.990 1.362 Si
2.522 0.641 0.520 Si
6.368 -2.701 2.003 Si
2.728 -3.051 1.161 Si
```

The calculation puts the formation energy (no corrections) at -0.594 eV/atom. The calculation puts the density of states at the Fermi level at 1.855 states/eV/f.u. As for the space group: No. 127.


Density functional theory data (SCAN) for a PBEsol-optimized structure of HgPPb2.

POSCAR file:
```
HgPPb2
1.0
3.909 0.000 0.000
1.955 3.386 0.000
1.955 1.129 7.743
P Pb Hg
1 2 1
Cartesian
1.955 1.129 2.018 P
5.864 3.386 5.624 Pb
5.864 3.386 0.423 Pb
3.909 2.257 3.549 Hg
```

The value obtained for the distance to the lowest polymorph of the same formula is 9.9 kJ/mol of atoms. The calculation puts the density of states at the Fermi level at 1.324 states/eV/f.u. As for the space group: No. 160.


Density functional theory data (SCAN) for a PBEsol-optimized structure of LiCuNi2.

POSCAR file:
```
LiCuNi2
1.0
3.562 0.000 0.000
0.000 3.562 0.000
-1.781 -1.781 3.353
Ni Li Cu
2 1 1
Cartesian
1.781 0.000 1.677 Ni
0.000 0.000 0.000 Ni
0.000 1.781 1.677 Li
1.781 1.781 0.000 Cu
```

The value obtained for the total energy is -49.61 eV/cell. The calculation puts the density of states at the Fermi level at 3.565 states/eV/f.u. As for the space group: No. 119.


Density functional theory data (SCAN) for a PBEsol-optimized structure of CsLi2Cu2.

POSCAR file:
```
CsLi2Cu2
1.0
-4.484 0.005 -0.678
0.665 -0.865 -4.402
1.745 -5.045 3.591
Li Cu Cs
2 2 1
Cartesian
-2.324 -2.735 0.186 Li
0.250 -3.170 -1.676 Li
-0.129 -4.288 0.823 Cu
-1.945 -1.617 -2.312 Cu
0.000 0.000 0.000 Cs
```

The value obtained for the total energy is -71.33 eV/cell. The calculation puts the density of states at the Fermi level at 1.835 states/eV/f.u. As for the space group: No. 139.


Density functional theory data (SCAN) for a PBEsol-optimized structure of Ba3Pt2.

POSCAR file:
```
Ba3Pt2
1.0
4.523 0.000 0.000
2.261 3.917 0.000
2.261 1.306 10.996
Ba Pt
3 2
Cartesian
6.784 3.917 7.551 Ba
2.261 1.306 3.445 Ba
0.000 0.000 0.000 Ba
4.523 2.611 9.132 Pt
4.523 2.611 1.864 Pt
```

The value obtained for the total energy is -262.77 eV/cell. The calculation puts the density of states at the Fermi level at 1.592 states/eV/f.u. As for the space group: No. 166.


Density functional theory data (SCAN) for a PBEsol-optimized structure of ZrHgW2.

POSCAR file:
```
ZrHgW2
1.0
-0.177 -2.536 -1.297
3.807 0.701 -1.889
2.767 -1.749 4.927
W Zr Hg
2 1 1
Cartesian
0.062 -0.279 0.020 W
2.460 -1.200 -0.398 W
1.187 -3.243 1.188 Zr
3.896 -2.274 2.096 Hg
```

The value obtained for the total energy is -237.17 eV/cell. The calculation puts the density of states at the Fermi level at 2.042 states/eV/f.u. As for the space group: No. 6.


Density functional theory data (SCAN) for a PBEsol-optimized structure of Mg2ZnIn.

POSCAR file:
```
Mg2ZnIn
1.0
-0.210 4.260 -0.437
-4.206 -0.116 0.892
3.095 -1.593 4.020
Mg In Zn
2 1 1
Cartesian
0.339 2.370 1.905 Mg
0.000 0.000 0.001 Mg
-1.660 0.182 2.569 In
0.887 0.479 4.248 Zn
```

The value obtained for the total energy is -57.23 eV/cell. The calculation puts the density of states at the Fermi level at 1.226 states/eV/f.u. As for the space group: No. 44.